No. 1
The following is a meta-GGA SCAN calculation of a crystal of BaLaFe relaxed with PBEsol, from Alexandria.

Summary:
Total moment ... 2.06 μB per formula unit
Energy relative to the elements ... 41 kJ/mol of atoms
E_tot ... -33.173 eV per atom
Theoretical density ... 6.10 g cm⁻³

a b c (Å): 3.610 3.610 13.865
angles (deg): 90.00 90.00 90.00
Fractional positions:
Ba  0.000  0.000  0.000
Ba  0.500  0.500  0.500
La  0.000  0.000  0.749
La  0.500  0.500  0.249
Fe  0.000  0.000  0.345
Fe  0.500  0.500  0.845



No. 2
The following is a meta-GGA SCAN calculation of a crystal of Sr2FeBr relaxed with PBEsol, from Alexandria.

Summary:
Total moment ... 1.72 μB per formula unit
E_tot ... -20.840 eV per atom
Formation energy without anion corrections ... -305 meV/atom
Theoretical density ... 4.59 g cm⁻³

a b c (Å): 5.153 3.714 11.756
angles (deg): 90.00 90.00 90.00
Fractional positions:
Sr  0.000  0.000  0.000
Sr  0.000  0.500  0.500
Sr  0.500  0.000  0.266
Sr  0.500  0.500  0.766
Fe  0.000  0.000  0.744
Fe  0.000  0.500  0.244
Br  0.500  0.000  0.534
Br  0.500  0.500  0.034



No. 3
The following is a meta-GGA SCAN calculation of a crystal of IrPd3O relaxed with PBEsol, from Alexandria.

Summary:
Total moment ... 0.00 μB per formula unit
E_tot ... -34.703 eV per atom
Formation energy without anion corrections ... 427 meV/atom
Theoretical density ... 12.91 g cm⁻³

a b c (Å): 4.079 4.079 4.079
angles (deg): 90.00 90.00 90.00
Fractional positions:
Ir  0.000  0.000  0.000
Pd  0.000  0.500  0.500
Pd  0.500  0.000  0.500
Pd  0.500  0.500  0.000
O  0.500  0.500  0.500



No. 4
The following is a meta-GGA SCAN calculation of a crystal of LaPtSe relaxed with PBEsol, from Alexandria.

Summary:
Total moment ... 0.00 μB per formula unit
E_tot ... -45.433 eV per atom
Formation energy without anion corrections ... -975 meV/atom
Theoretical density ... 9.40 g cm⁻³

a b c (Å): 6.634 6.634 6.634
angles (deg): 90.00 90.00 90.00
Fractional positions:
La  0.000  0.000  0.000
La  0.000  0.500  0.500
La  0.500  0.000  0.500
La  0.500  0.500  0.000
Pt  0.000  0.000  0.500
Pt  0.000  0.500  0.000
Pt  0.500  0.000  0.000
Pt  0.500  0.500  0.500
Se  0.250  0.250  0.750
Se  0.250  0.750  0.250
Se  0.750  0.250  0.250
Se  0.750  0.750  0.750



No. 5
The following is a meta-GGA SCAN calculation of a crystal of Y4Sc relaxed with PBEsol, from Alexandria.

Summary:
Total moment ... 0.00 μB per formula unit
Energy relative to the elements ... 8 kJ/mol of atoms
E_tot ... -25.040 eV per atom
Theoretical density ... 4.59 g cm⁻³

a b c (Å): 7.702 7.702 4.884
angles (deg): 90.00 90.00 90.00
Fractional positions:
Y  0.102  0.299  0.000
Y  0.201  0.602  0.500
Y  0.299  0.898  0.000
Y  0.398  0.201  0.500
Y  0.602  0.799  0.500
Y  0.701  0.102  0.000
Y  0.799  0.398  0.500
Y  0.898  0.701  0.000
Sc  0.000  0.000  0.500
Sc  0.500  0.500  0.000



No. 6
The following is a meta-GGA SCAN calculation of a crystal of CsTa2ZnCr relaxed with PBEsol, from Alexandria.

Summary:
Total moment ... 1.15 μB per formula unit
Energy relative to the elements ... 174 kJ/mol of atoms
E_tot ... -38.774 eV per atom
Theoretical density ... 8.74 g cm⁻³

a b c (Å): 4.883 4.883 4.881
angles (deg): 90.00 90.00 90.00
Fractional positions:
Cs  0.000  0.000  0.000
Ta  0.000  0.500  0.500
Ta  0.500  0.000  0.500
Zn  0.500  0.500  0.500
Cr  0.500  0.500  0.000



> Which value of total moment does entry 4 give?

0.00 μB per formula unit



> Among the records above, which one has the highest total moment?

BaLaFe